1.
# GGA-PBE Nb2GaRe, optimized geometry
data_Nb2GaRe
_cell_length_a 3.0021
_cell_length_b 3.0021
_cell_length_c 26.4167
_cell_angle_alpha 90.00
_cell_angle_beta 90.00
_cell_angle_gamma 120.00
_symmetry_space_group_name_H-M 'R -3 m'
_symmetry_Int_Tables_number 166
_symmetry_space_group_name_Hall '-R 3 2"'
loop_
_atom_site_label
_atom_site_type_symbol
_atom_site_fract_x
_atom_site_fract_y
_atom_site_fract_z
Nb1 Nb 0.0000 0.0000 0.2474
Ga1 Ga 0.0000 0.0000 0.0000
Re1 Re 0.0000 0.0000 0.5000
# - DFT total energy: -8.8596 eV per atom
# - E_form: 17.0 kJ/mol of formula units

2.
# GGA-PBE Nb3Ga4Re, optimized geometry
data_Nb3Ga4Re
_cell_length_a 9.236
_cell_length_b 5.512
_cell_length_c 5.173
_cell_angle_alpha 90.00
_cell_angle_beta 90.00
_cell_angle_gamma 90.00
_symmetry_space_group_name_H-M 'P m n 21'
_symmetry_Int_Tables_number 31
loop_
_symmetry_equiv_pos_as_xyz
'x,y,z'
'-x+1/2,-y,z+1/2'
'-x,y,z'
'x+1/2,-y,z+1/2'
loop_
_atom_site_label
_atom_site_type_symbol
_atom_site_fract_x
_atom_site_fract_y
_atom_site_fract_z
Nb1 Nb 0.000 0.142 0.000
Nb2 Nb 0.234 0.633 0.295
Ga1 Ga 0.000 0.367 0.508
Ga2 Ga 0.000 0.634 0.956
Ga3 Ga 0.239 0.869 0.779
Re1 Re 0.000 0.878 0.447
# - DFT total energy: -7.0023 eV per atom
# - E_form: -120.9 kJ/mol of formula units

3.
# GGA-PBE Nb14GaRe, optimized geometry
data_Nb14GaRe
_cell_length_a 6.581
_cell_length_b 6.581
_cell_length_c 6.616
_cell_angle_alpha 90.00
_cell_angle_beta 90.00
_cell_angle_gamma 90.00
_symmetry_space_group_name_H-M 'P 4/m m m'
_symmetry_Int_Tables_number 123
_symmetry_space_group_name_Hall '-P 4 2'
loop_
_atom_site_label
_atom_site_type_symbol
_atom_site_fract_x
_atom_site_fract_y
_atom_site_fract_z
Nb1 Nb 0.000 0.000 0.000
Nb2 Nb 0.000 0.500 0.000
Nb3 Nb 0.000 0.500 0.500
Nb4 Nb 0.246 0.246 0.253
Nb5 Nb 0.500 0.500 0.000
Ga1 Ga 0.500 0.500 0.500
Re1 Re 0.000 0.000 0.500
# - DFT total energy: -9.8673 eV per atom
# - E_form: -137.4 kJ/mol of formula units

4.
# GGA-PBE NbGaRe, optimized geometry
data_NbGaRe
_cell_length_a 4.5094
_cell_length_b 4.5094
_cell_length_c 2.7640
_cell_angle_alpha 90.00
_cell_angle_beta 90.00
_cell_angle_gamma 120.00
_symmetry_space_group_name_H-M 'P 3 m 1'
_symmetry_Int_Tables_number 156
loop_
_symmetry_equiv_pos_as_xyz
'x,y,z'
'-y,x-y,z'
'-x+y,-x,z'
'-y,-x,z'
'-x+y,y,z'
'x,x-y,z'
loop_
_atom_site_label
_atom_site_type_symbol
_atom_site_fract_x
_atom_site_fract_y
_atom_site_fract_z
Nb1 Nb 0.0000 0.0000 0.0000
Ga1 Ga 0.3333 0.6667 0.4947
Re1 Re 0.6667 0.3333 0.6771
# - DFT total energy: -8.6013 eV per atom
# - E_form: -25.0 kJ/mol of formula units